The following is a PBE calculation of KMgCdF6 after structural relaxation, from Alexandria.

a b c (Å): 7.467 7.434 7.191
angles (deg): 121.12 121.28 90.00
Each line ends with the local moment (μB).
Positions (direct):
Cd  0.500  0.000  0.000  0.02
Cd  0.500  0.500  0.000  0.02
F  0.683  0.933  0.366  0.00
F  0.342  0.664  0.244  0.22
F  0.098  0.336  0.756  0.22
F  0.383  0.633  0.766  0.04
F  0.902  0.079  0.244  0.22
F  0.098  0.921  0.756  0.22
F  0.902  0.664  0.244  0.22
F  0.342  0.079  0.244  0.22
F  0.658  0.921  0.756  0.22
F  0.617  0.367  0.234  0.04
F  0.658  0.336  0.756  0.22
F  0.317  0.067  0.634  0.00
Mg  0.500  0.000  0.500  0.00
Mg  0.000  0.000  0.500  0.00
K  0.107  0.357  0.214  0.00
K  0.893  0.643  0.786  0.00

DFT total energy = -4.141 eV per atom
raw formation energy = -22.44 eV/f.u.
total moment = 2.056 μB/cell
calculated volume = 15.1 Å³/atom
DOS at the Fermi energy = 7.0 states/eV per cell